The following is a PBE calculation of a relaxed PrNdSn2 crystal, from Alexandria via LeMat-Bulk.

* energy: -20.24 eV for the cell shown
* space group: P4/mmm (123)
* calculated formation energy: -671 meV per atom

Unit cell a=4.578 b=5.023 c=5.023 alpha=90.00 beta=90.00 gamma=90.00
Atoms (fractional coordinates):
Pr: 0.500 0.500 0.500
Nd: 0.500 0.000 0.000
Sn: 0.000 0.000 0.500
Sn: 0.000 0.500 0.000

***

The following is a PBE calculation of a relaxed Ca2FeSe crystal, from Alexandria via LeMat-Bulk.

* energy: -16.95 eV for the cell shown
* raw formation energy: -0.249 eV/atom
* space group: Fm-3m (225)
* excess energy over the best structure of this formula in the dataset: 1.04 eV/f.u.

Unit cell a=5.082 b=5.082 c=5.082 alpha=60.00 beta=60.00 gamma=60.00
Site moments in Bohr magnetons follow the coordinates.
Atoms (fractional coordinates):
Ca: 0.250 0.250 0.250  -0.10
Ca: 0.750 0.750 0.750  -0.10
Fe: 0.000 0.000 0.000  2.34
Se: 0.500 0.500 0.500  0.05

***

- Which of these has the highest energy?
  Ca2FeSe

***

- What is the formula in the second record?
  Ca2FeSe